The following is a DFT calculation (PBE) of a relaxed Na3In7Au4 crystal.

## Properties
- E_form (eV/f.u.) = -3.62

Cell: 8.7553 8.7553 10.2997 Å, 119.81 119.81 30.51°
Last column: nearest neighbours and their distance in Å.
Fractional coordinates of all 14 atoms:
Na: 0.0000 0.0000 0.0000  6 Au 3.23-3.60
Na: 0.3044 0.3044 0.2983  4 Au 3.24-3.27, 7 In 3.35-3.49
Na: 0.6956 0.6956 0.7017  4 Au 3.24-3.27, 7 In 3.35-3.49
In: 0.0000 0.0000 0.5000  2 Au 2.99, 6 In 3.10-3.17
In: 0.1605 0.1605 0.4362  3 Au 2.84-2.92, 1 In 3.10
In: 0.3169 0.3169 0.9705  4 Au 2.75-2.87
In: 0.4996 0.4996 0.2878  3 Au 2.82-2.89, 1 In 3.13
In: 0.5004 0.5004 0.7122  3 Au 2.82-2.89, 1 In 3.13
In: 0.6831 0.6831 0.0295  4 Au 2.75-2.87
In: 0.8395 0.8395 0.5638  3 Au 2.84-2.92, 1 In 3.10
Au: 0.1203 0.1203 0.8374  6 In 2.86-2.99
Au: 0.3368 0.3368 0.7223  5 In 2.75-2.92
Au: 0.6632 0.6632 0.2777  5 In 2.75-2.92
Au: 0.8797 0.8797 0.1626  6 In 2.86-2.99


The following is a DFT calculation (PBE) of a relaxed Na3InAu crystal.

## Properties
- E_form (eV/f.u.) = -0.85

Cell: 7.2989 7.2989 7.3615 Å, 118.57 118.57 78.75°
Last column: nearest neighbours and their distance in Å.
Fractional coordinates of all 10 atoms:
Na: 0.0560 0.0560 0.3400  2 Au 2.94-3.20, 1 Na 3.29
Na: 0.0881 0.4766 0.2452  2 Au 2.94-3.09
Na: 0.4766 0.0881 0.2452  2 Au 2.94-3.09
Na: 0.5234 0.9119 0.7548  2 Au 2.94-3.09
Na: 0.9119 0.5234 0.7548  2 Au 2.94-3.09
Na: 0.9440 0.9440 0.6600  2 Au 2.94-3.20, 1 Na 3.29
In: 0.4296 0.4296 0.7168  2 Au 2.77-2.80
In: 0.5704 0.5704 0.2832  2 Au 2.77-2.80
Au: 0.2700 0.2700 0.8931  2 In 2.77-2.80, 5 Na 2.94-3.09
Au: 0.7300 0.7300 0.1069  2 In 2.77-2.80, 5 Na 2.94-3.09


The following is a DFT calculation (PBE) of a relaxed Na2InAu crystal.

## Properties
- E_form (eV/f.u.) = -0.72

Cell: 3.5967 3.5967 7.4973 Å, 90.00 90.00 90.00°
Last column: nearest neighbours and their distance in Å.
Fractional coordinates of all 4 atoms:
Na: 0.0000 0.0000 0.2166  4 Au 3.02, 1 Na 3.25, 4 In 3.31
Na: 0.0000 0.0000 0.7834  4 Au 3.02, 1 Na 3.25, 4 In 3.31
In: 0.5000 0.5000 0.5000  8 Na 3.31, 4 In 3.60
Au: 0.5000 0.5000 0.0000  8 Na 3.02


The following is a DFT calculation (PBE) of a relaxed Na6InAu2 crystal.

## Properties
- E_form (eV/f.u.) = -1.80

Cell: 10.5461 10.5461 10.5461 Å, 29.04 29.04 29.04°
Last column: nearest neighbours and their distance in Å.
Fractional coordinates of all 9 atoms:
Na: 0.0803 0.0803 0.0803  3 Au 3.06, 3 Na 3.41
Na: 0.2029 0.2029 0.2029  4 Na 3.23-3.41, 3 In 3.24, 3 Au 3.47
Na: 0.3094 0.3094 0.3094  1 Au 3.01, 1 Na 3.23
Na: 0.6906 0.6906 0.6906  1 Au 3.01, 1 Na 3.23
Na: 0.7971 0.7971 0.7971  4 Na 3.23-3.41, 3 In 3.24, 3 Au 3.47
Na: 0.9197 0.9197 0.9197  3 Au 3.06, 3 Na 3.41
In: 0.5000 0.5000 0.5000  2 Au 2.76
Au: 0.4089 0.4089 0.4089  1 In 2.76, 4 Na 3.01-3.06
Au: 0.5911 0.5911 0.5911  1 In 2.76, 4 Na 3.01-3.06


The following is a DFT calculation (PBE) of a relaxed NaIn5Au crystal.

## Properties
- E_form (eV/f.u.) = -0.89

Cell: 4.8886 4.8886 7.4865 Å, 90.00 90.00 90.00°
Last column: nearest neighbours and their distance in Å.
Fractional coordinates of all 7 atoms:
Na: 0.0000 0.0000 0.0000  12 In 3.24-3.46
In: 0.0000 0.5000 0.2847  2 Au 2.93, 3 In 3.22-3.24, 2 Na 3.24
In: 0.0000 0.5000 0.7153  2 Au 2.93, 3 In 3.22-3.24, 2 Na 3.24
In: 0.5000 0.0000 0.2847  2 Au 2.93, 3 In 3.22-3.24, 2 Na 3.24
In: 0.5000 0.0000 0.7153  2 Au 2.93, 3 In 3.22-3.24, 2 Na 3.24
In: 0.5000 0.5000 0.0000  8 In 3.24, 4 Na 3.46
Au: 0.0000 0.0000 0.5000  8 In 2.93


The following is a DFT calculation (PBE) of a relaxed Na4In5Au2 crystal.

## Properties
- E_form (eV/f.u.) = -1.79

Cell: 7.8058 3.3708 10.3949 Å, 90.00 93.17 90.00°
Last column: nearest neighbours and their distance in Å.
Fractional coordinates of all 11 atoms:
Na: 0.1583 0.0000 0.3805  2 Au 3.09, 6 In 3.26-3.34, 2 Na 3.37
Na: 0.2537 0.0000 0.9503  4 Au 3.04-3.07, 4 In 3.32-3.35, 2 Na 3.37
Na: 0.7463 0.0000 0.0497  4 Au 3.04-3.07, 4 In 3.32-3.35, 2 Na 3.37
Na: 0.8417 0.0000 0.6195  2 Au 3.09, 6 In 3.26-3.34, 2 Na 3.37
In: 0.1960 0.5000 0.6732  1 Au 2.88, 2 In 3.06-3.16
In: 0.4265 0.5000 0.1999  1 Au 2.89, 2 In 3.14-3.16
In: 0.5000 0.5000 0.5000  6 In 3.06-3.37, 4 Na 3.34
In: 0.5735 0.5000 0.8001  1 Au 2.89, 2 In 3.14-3.16
In: 0.8040 0.5000 0.3268  1 Au 2.88, 2 In 3.06-3.16
Au: 0.0604 0.5000 0.1383  2 In 2.88-2.89, 1 Au 2.98, 6 Na 3.04-3.09
Au: 0.9396 0.5000 0.8617  2 In 2.88-2.89, 1 Au 2.98, 6 Na 3.04-3.09


The following is a DFT calculation (PBE) of a relaxed Na8InAu2 crystal.

## Properties
- E_form (eV/f.u.) = -1.65

Cell: 8.0944 8.0944 5.5618 Å, 98.36 98.36 112.17°
Last column: nearest neighbours and their distance in Å.
Fractional coordinates of all 11 atoms:
Na: 0.0625 0.3164 0.5828  2 Au 3.04-3.08, 1 Na 3.30
Na: 0.2419 0.7581 0.0000  2 Au 2.97, 1 In 3.25
Na: 0.3164 0.0625 0.5828  2 Au 3.04-3.08, 1 Na 3.30
Na: 0.3740 0.3740 0.1865  2 Au 3.02, 1 In 3.27
Na: 0.6260 0.6260 0.8135  2 Au 3.02, 1 In 3.27
Na: 0.6836 0.9375 0.4172  2 Au 3.04-3.08, 1 Na 3.30
Na: 0.7581 0.2419 0.0000  2 Au 2.97, 1 In 3.25
Na: 0.9375 0.6836 0.4172  2 Au 3.04-3.08, 1 Na 3.30
In: 0.0000 0.0000 0.0000  4 Na 3.25-3.27
Au: 0.3202 0.6798 0.5000  8 Na 2.97-3.08
Au: 0.6798 0.3202 0.5000  8 Na 2.97-3.08


The following is a DFT calculation (PBE) of a relaxed Na3In5Au6 crystal.

## Properties
- E_form (eV/f.u.) = -4.06

Cell: 4.6419 13.5580 10.2687 Å, 90.00 90.00 90.00°
Last column: nearest neighbours and their distance in Å.
Fractional coordinates of all 28 atoms:
Na: 0.2500 0.0559 0.2494  6 Au 3.14-3.35, 8 In 3.35-3.51
Na: 0.2500 0.4441 0.2494  6 Au 3.14-3.35, 8 In 3.35-3.51
Na: 0.2500 0.7500 0.2642  6 Au 3.24-3.43, 2 In 3.45
Na: 0.7500 0.2500 0.7358  6 Au 3.24-3.43, 2 In 3.45
Na: 0.7500 0.5559 0.7506  6 Au 3.14-3.35, 8 In 3.35-3.51
Na: 0.7500 0.9441 0.7506  6 Au 3.14-3.35, 8 In 3.35-3.51
In: 0.2500 0.0748 0.5903  5 Au 2.74-2.98
In: 0.2500 0.4252 0.5903  5 Au 2.74-2.98
In: 0.2500 0.6023 0.9909  5 Au 2.80-3.10, 1 In 3.05
In: 0.2500 0.7500 0.7671  6 Au 2.86-2.99, 2 In 3.05
In: 0.2500 0.8977 0.9909  5 Au 2.80-3.10, 1 In 3.05
In: 0.7500 0.1023 0.0091  5 Au 2.80-3.10, 1 In 3.05
In: 0.7500 0.2500 0.2329  6 Au 2.86-2.99, 2 In 3.05
In: 0.7500 0.3977 0.0091  5 Au 2.80-3.10, 1 In 3.05
In: 0.7500 0.5748 0.4097  5 Au 2.74-2.98
In: 0.7500 0.9252 0.4097  5 Au 2.74-2.98
Au: 0.2500 0.0881 0.8570  4 In 2.74-2.92, 1 Au 2.96
Au: 0.2500 0.2500 0.0509  2 Au 2.96, 6 In 2.98-3.10
Au: 0.2500 0.2500 0.4157  4 Au 2.87, 4 In 2.98-2.99, 2 Na 3.14
Au: 0.2500 0.4119 0.8570  4 In 2.74-2.92, 1 Au 2.96
Au: 0.2500 0.6305 0.5374  4 In 2.77-2.86, 2 Au 2.87
Au: 0.2500 0.8695 0.5374  4 In 2.77-2.86, 2 Au 2.87
Au: 0.7500 0.1305 0.4626  4 In 2.77-2.86, 2 Au 2.87
Au: 0.7500 0.3695 0.4626  4 In 2.77-2.86, 2 Au 2.87
Au: 0.7500 0.5881 0.1430  4 In 2.74-2.92, 1 Au 2.96
Au: 0.7500 0.7500 0.5843  4 Au 2.87, 4 In 2.98-2.99, 2 Na 3.14
Au: 0.7500 0.7500 0.9491  2 Au 2.96, 6 In 2.98-3.10
Au: 0.7500 0.9119 0.1430  4 In 2.74-2.92, 1 Au 2.96


The following is a DFT calculation (PBE) of a relaxed Na3In6Au5 crystal.

## Properties
- E_form (eV/f.u.) = -4.19

Cell: 4.6805 14.0986 9.9680 Å, 90.00 90.00 90.00°
Last column: nearest neighbours and their distance in Å.
Fractional coordinates of all 28 atoms:
Na: 0.2500 0.0419 0.2504  4 Au 3.21-3.32, 7 In 3.24-3.38
Na: 0.2500 0.4581 0.2504  4 Au 3.21-3.32, 7 In 3.24-3.38
Na: 0.2500 0.7500 0.2314  6 Au 3.28-3.47, 2 In 3.63
Na: 0.7500 0.2500 0.7686  6 Au 3.28-3.47, 2 In 3.63
Na: 0.7500 0.5419 0.7496  4 Au 3.21-3.32, 7 In 3.24-3.38
Na: 0.7500 0.9581 0.7496  4 Au 3.21-3.32, 7 In 3.24-3.38
In: 0.2500 0.0719 0.9145  4 Au 2.76-2.88
In: 0.2500 0.2500 0.1117  6 Au 2.94-2.97, 2 In 3.19, 2 Na 3.24
In: 0.2500 0.2500 0.4619  4 Au 2.84-2.87
In: 0.2500 0.4281 0.9145  4 Au 2.76-2.88
In: 0.2500 0.5926 0.5190  4 Au 2.82-2.89
In: 0.2500 0.9074 0.5190  4 Au 2.82-2.89
In: 0.7500 0.0926 0.4810  4 Au 2.82-2.89
In: 0.7500 0.4074 0.4810  4 Au 2.82-2.89
In: 0.7500 0.5719 0.0855  4 Au 2.76-2.88
In: 0.7500 0.7500 0.5381  4 Au 2.84-2.87
In: 0.7500 0.7500 0.8883  6 Au 2.94-2.97, 2 In 3.19, 2 Na 3.24
In: 0.7500 0.9281 0.0855  4 Au 2.76-2.88
Au: 0.2500 0.0925 0.6391  5 In 2.76-2.87
Au: 0.2500 0.4075 0.6391  5 In 2.76-2.87
Au: 0.2500 0.6308 0.9492  5 In 2.83-2.94, 1 Au 2.96
Au: 0.2500 0.7500 0.7046  6 In 2.87-2.97, 2 Au 2.96
Au: 0.2500 0.8692 0.9492  5 In 2.83-2.94, 1 Au 2.96
Au: 0.7500 0.1308 0.0508  5 In 2.83-2.94, 1 Au 2.96
Au: 0.7500 0.2500 0.2954  6 In 2.87-2.97, 2 Au 2.96
Au: 0.7500 0.3692 0.0508  5 In 2.83-2.94, 1 Au 2.96
Au: 0.7500 0.5925 0.3609  5 In 2.76-2.87
Au: 0.7500 0.9075 0.3609  5 In 2.76-2.87


The following is a DFT calculation (PBE) of a relaxed Na8InAu6 crystal.

## Properties
- E_form (eV/f.u.) = -3.82

Cell: 7.7930 7.7930 7.7930 Å, 66.21 66.21 66.21°
Last column: nearest neighbours and their distance in Å.
Fractional coordinates of all 15 atoms:
Na: 0.0411 0.7205 0.3839  5 Au 2.99-3.13, 2 Na 3.33
Na: 0.1652 0.1652 0.1652  6 Au 2.99-3.00
Na: 0.2795 0.6161 0.9589  5 Au 2.99-3.13, 2 Na 3.33
Na: 0.3839 0.0411 0.7205  5 Au 2.99-3.13, 2 Na 3.33
Na: 0.6161 0.9589 0.2795  5 Au 2.99-3.13, 2 Na 3.33
Na: 0.7205 0.3839 0.0411  5 Au 2.99-3.13, 2 Na 3.33
Na: 0.8348 0.8348 0.8348  6 Au 2.99-3.00
Na: 0.9589 0.2795 0.6161  5 Au 2.99-3.13, 2 Na 3.33
In: 0.5000 0.5000 0.5000  6 Au 2.89
Au: 0.1281 0.4537 0.7787  1 In 2.89, 7 Na 2.99-3.13, 1 Au 3.24
Au: 0.2213 0.8719 0.5463  1 In 2.89, 7 Na 2.99-3.13
Au: 0.4537 0.7787 0.1281  1 In 2.89, 7 Na 2.99-3.13
Au: 0.5463 0.2213 0.8719  1 In 2.89, 7 Na 2.99-3.13
Au: 0.7787 0.1281 0.4537  1 In 2.89, 7 Na 2.99-3.13
Au: 0.8719 0.5463 0.2213  1 In 2.89, 7 Na 2.99-3.13


The following is a DFT calculation (PBE) of a relaxed NaIn4Au crystal.

## Properties
- E_form (eV/f.u.) = -0.91

Cell: 7.9530 7.9530 7.2645 Å, 107.38 107.38 45.48°
Last column: nearest neighbours and their distance in Å.
Fractional coordinates of all 12 atoms:
Na: 0.1919 0.1919 0.3533  3 Au 3.18-3.37, 6 In 3.43-3.51
Na: 0.8081 0.8081 0.6467  3 Au 3.18-3.37, 6 In 3.43-3.51
In: 0.1494 0.6542 0.3242  2 Au 2.88-3.22, 5 In 3.04-3.20
In: 0.2377 0.7623 0.0000  2 Au 2.91, 4 In 2.92-3.23
In: 0.2915 0.2915 0.9198  1 Au 2.88, 2 In 3.20
In: 0.3458 0.8506 0.6758  2 Au 2.88-3.22, 5 In 3.04-3.20
In: 0.6542 0.1494 0.3242  2 Au 2.88-3.22, 5 In 3.04-3.20
In: 0.7085 0.7085 0.0802  1 Au 2.88, 2 In 3.20
In: 0.7623 0.2377 0.0000  2 Au 2.91, 4 In 2.92-3.23
In: 0.8506 0.3458 0.6758  2 Au 2.88-3.22, 5 In 3.04-3.20
Au: 0.4037 0.4037 0.6595  7 In 2.88-3.22, 1 Na 3.18
Au: 0.5963 0.5963 0.3405  7 In 2.88-3.22, 1 Na 3.18


The following is a DFT calculation (PBE) of a relaxed NaIn4Au4 crystal.

## Properties
- E_form (eV/f.u.) = -1.96

Cell: 7.1567 7.1567 8.9102 Å, 90.00 90.00 90.00°
Last column: nearest neighbours and their distance in Å.
Fractional coordinates of all 18 atoms:
Na: 0.2500 0.7500 0.2500  4 Au 3.57, 4 In 3.72
Na: 0.7500 0.2500 0.7500  4 Au 3.57, 4 In 3.72
In: 0.0028 0.7500 0.6174  5 Au 2.81-2.85
In: 0.2500 0.5028 0.8826  5 Au 2.81-2.85
In: 0.2500 0.9972 0.8826  5 Au 2.81-2.85
In: 0.4972 0.7500 0.6174  5 Au 2.81-2.85
In: 0.5028 0.2500 0.3826  5 Au 2.81-2.85
In: 0.7500 0.0028 0.1174  5 Au 2.81-2.85
In: 0.7500 0.4972 0.1174  5 Au 2.81-2.85
In: 0.9972 0.2500 0.3826  5 Au 2.81-2.85
Au: 0.0497 0.2500 0.0702  5 In 2.81-2.85, 1 Au 2.87
Au: 0.2500 0.0497 0.5702  5 In 2.81-2.85, 1 Au 2.87
Au: 0.2500 0.4503 0.5702  5 In 2.81-2.85, 1 Au 2.87
Au: 0.4503 0.2500 0.0702  5 In 2.81-2.85, 1 Au 2.87
Au: 0.5497 0.7500 0.9298  5 In 2.81-2.85, 1 Au 2.87
Au: 0.7500 0.5497 0.4298  5 In 2.81-2.85, 1 Au 2.87
Au: 0.7500 0.9503 0.4298  5 In 2.81-2.85, 1 Au 2.87
Au: 0.9503 0.7500 0.9298  5 In 2.81-2.85, 1 Au 2.87